{"formula": "GePtCl3", "functional": "PBEsol", "state": "optimized geometry", "total_magnetization_mub_per_atom": 0.1504, "raw_formation_energy_ev_per_atom": 0.447, "spacegroup": "Pm-3m, No. 221", "e_tot_ev_per_atom": -3.1385, "lattice_angstrom": [[4.855, 0.000, 0.000], [0.000, 4.855, 0.000], [0.000, 0.000, 4.855]], "species": ["Ge", "Pt", "Cl", "Cl", "Cl"], "fractional_positions": [[0.000, 0.000, 0.000], [0.500, 0.500, 0.500], [0.000, 0.500, 0.000], [0.000, 0.000, 0.500], [0.500, 0.000, 0.000]]}


{"formula": "KFeRu", "functional": "PBEsol", "state": "optimized geometry", "total_magnetization_mub_per_atom": 1.1873, "e_above_lowest_polymorph_mev_per_atom": 547, "spacegroup": "P-6m2, No. 187", "ef_ev_per_atom": 1.4547, "e_tot_ev_per_atom": -5.3018, "lattice_angstrom": [[2.519, 0.000, 0.000], [0.000, 4.914, 0.000], [0.000, -2.457, 4.255]], "species": ["Fe", "K", "Ru"], "fractional_positions": [[0.500, 0.000, 0.000], [0.000, 0.333, 0.667], [0.500, 0.667, 0.333]]}


{"formula": "AlH2PbO2F3", "functional": "PBEsol", "state": "optimized geometry", "total_magnetization_mub_per_atom": 0.0000, "spacegroup": "P-1, No. 2", "e_tot_ev_per_atom": -5.7180, "lattice_angstrom": [[4.968, 0.012, -0.039], [1.908, 5.993, -0.036], [0.000, 1.866, 6.563]], "species": ["Al", "Al", "H", "H", "H", "H", "Pb", "Pb", "O", "O", "O", "O", "F", "F", "F", "F", "F", "F"], "fractional_positions": [[0.839, 0.188, 0.328], [0.161, 0.812, 0.672], [0.277, 0.184, 0.529], [0.723, 0.816, 0.471], [0.279, 0.146, 0.141], [0.721, 0.854, 0.859], [0.200, 0.691, 0.192], [0.800, 0.309, 0.808], [0.104, 0.135, 0.553], [0.896, 0.865, 0.447], [0.101, 0.104, 0.140], [0.899, 0.896, 0.860], [0.565, 0.213, 0.135], [0.435, 0.787, 0.865], [0.552, 0.263, 0.491], [0.448, 0.737, 0.509], [0.810, 0.491, 0.232], [0.190, 0.509, 0.768]]}


{"formula": "SrCr2BCl", "functional": "PBEsol", "state": "optimized geometry", "total_magnetization_mub_per_atom": 1.9083, "raw_formation_energy_ev_per_atom": 2.344, "spacegroup": "P4/mmm, No. 123", "e_tot_ev_per_atom": -3.9260, "lattice_angstrom": [[4.688, 0.000, 0.000], [0.000, 5.792, 0.000], [0.000, 0.000, 5.792]], "species": ["Sr", "B", "Cl", "Cr", "Cr"], "fractional_positions": [[0.000, 0.000, 0.000], [0.500, 0.000, 0.000], [0.500, 0.500, 0.500], [0.000, 0.000, 0.500], [0.000, 0.500, 0.000]]}


{"formula": "Ba2SrAlAu", "functional": "PBEsol", "state": "optimized geometry", "total_magnetization_mub_per_atom": 0.0001, "spacegroup": "P4/mmm, No. 123", "ef_ev_per_atom": 0.8686, "e_tot_ev_per_atom": -1.9622, "lattice_angstrom": [[-1.312, -3.586, -3.763], [2.314, -4.777, 3.745], [-5.858, -0.709, 2.717]], "species": ["Sr", "Au", "Ba", "Ba", "Al"], "fractional_positions": [[0.000, 0.000, 0.000], [0.500, 0.500, 0.500], [0.000, 0.000, 0.500], [0.000, 0.500, 0.000], [0.500, 0.000, 0.000]]}


{"formula": "Sr3CaCu2O6", "functional": "PBEsol", "state": "optimized geometry", "total_magnetization_mub_per_atom": 0.0001, "raw_formation_energy_ev_per_atom": -2.145, "spacegroup": "Cm, No. 8", "e_tot_ev_per_atom": -6.1302, "lattice_angstrom": [[3.875, 0.000, 0.000], [-1.938, 6.432, 0.006], [0.000, -1.832, 6.609]], "species": ["Sr", "Sr", "Sr", "Ca", "Cu", "Cu", "O", "O", "O", "O", "O", "O"], "fractional_positions": [[0.853, 0.706, 0.677], [0.147, 0.293, 0.826], [0.149, 0.298, 0.322], [0.854, 0.707, 0.176], [0.500, 0.001, 0.009], [0.499, 0.999, 0.491], [0.655, 0.310, 0.578], [0.659, 0.319, 0.080], [0.345, 0.691, 0.411], [0.345, 0.689, 0.933], [0.997, 0.993, 0.489], [0.997, 0.994, 0.007]]}


{"formula": "RbBaMo3", "functional": "PBEsol", "state": "optimized geometry", "total_magnetization_mub_per_atom": 0.9258, "spacegroup": "Pm-3m, No. 221", "ef_ev_per_atom": 3.1343, "e_tot_ev_per_atom": -4.5613, "lattice_angstrom": [[5.137, 0.000, 0.000], [0.000, 5.137, 0.000], [0.000, 0.000, 5.137]], "species": ["Mo", "Mo", "Mo", "Ba", "Rb"], "fractional_positions": [[0.000, 0.500, 0.000], [0.000, 0.000, 0.500], [0.500, 0.000, 0.000], [0.000, 0.000, 0.000], [0.500, 0.500, 0.500]]}


{"formula": "AgGeI2N", "functional": "PBEsol", "state": "optimized geometry", "total_magnetization_mub_per_atom": 0.3478, "raw_formation_energy_ev_per_atom": 0.936, "spacegroup": "P4/mmm, No. 123", "e_tot_ev_per_atom": -3.1259, "lattice_angstrom": [[-0.251, 1.277, 3.714], [-1.873, -5.115, 1.632], [5.357, -1.664, 0.934]], "species": ["I", "I", "Ge", "Ag", "N"], "fractional_positions": [[0.000, 0.000, 0.500], [0.000, 0.500, 0.000], [0.500, 0.500, 0.500], [0.000, 0.000, 0.000], [0.500, 0.000, 0.000]]}